No. 1
# Er2ScB2Rh5 PBE relaxed
# DFT formation energy	-846	kJ/mol of formula units
# spin magnetization	0.00	μB/f.u.
# ρ	10.2	g/cm3
# uncorrected energy	-148.67	eV/cell
data_Er2ScB2Rh5
_chemical_formula_sum 'Er4 Sc2 B4 Rh10'
_cell_length_a 9.6655
_cell_length_b 9.6655
_cell_length_c 3.1904
_cell_angle_alpha 90.00
_cell_angle_beta 90.00
_cell_angle_gamma 90.00
_symmetry_space_group_name_H-M 'P 4/m b m'
_symmetry_Int_Tables_number 127
_symmetry_space_group_name_Hall '-P 4 2ab'
loop_
_atom_site_label
_atom_site_type_symbol
_atom_site_fract_x
_atom_site_fract_y
_atom_site_fract_z
Er1 Er 0.1751 0.3249 0.0000
Sc1 Sc 0.0000 0.0000 0.0000
B1 B 0.1223 0.6223 0.0000
Rh1 Rh 0.0000 0.5000 0.5000
Rh2 Rh 0.0707 0.7749 0.5000


No. 2
# Zr2TaHg PBE relaxed
# DFT formation energy	42	kJ/mol of formula units
# spin magnetization	0.00	μB/f.u.
# ρ	10.9	g/cm3
# uncorrected energy	-57.62	eV/cell
data_Zr2TaHg
_chemical_formula_sum 'Zr4 Ta2 Hg2'
_cell_length_a 3.1647
_cell_length_b 5.2188
_cell_length_c 10.3761
_cell_angle_alpha 90.00
_cell_angle_beta 90.00
_cell_angle_gamma 90.00
_symmetry_space_group_name_H-M 'I m m 2'
_symmetry_Int_Tables_number 44
loop_
_symmetry_equiv_pos_as_xyz
'x,y,z'
'-x,-y,z'
'-x,y,z'
'x,-y,z'
'x+1/2,y+1/2,z+1/2'
'-x+1/2,-y+1/2,z+1/2'
'-x+1/2,y+1/2,z+1/2'
'x+1/2,-y+1/2,z+1/2'
loop_
_atom_site_label
_atom_site_type_symbol
_atom_site_fract_x
_atom_site_fract_y
_atom_site_fract_z
Zr1 Zr 0.0000 0.0000 0.0000
Zr2 Zr 0.0000 0.5000 0.2290
Ta1 Ta 0.0000 0.0000 0.4904
Hg1 Hg 0.0000 0.5000 0.7542